NbSiNi after structural relaxation, computed with PBE.

Computed properties:
DOS(E_F), states/eV per atom: 0.62
Final energy, eV/atom: -7.44
Calculated density, g/cm3: 6.828
Volume, Å³/cell: 87.4
Symmetry: Cm
Formation energy from raw total energies, meV/atom: -351

The structure in CIF format:
```
data_NbSiNi
_symmetry_space_group_name_H-M 'P 1'
_symmetry_Int_Tables_number 1
_cell_length_a 4.817
_cell_length_b 4.817
_cell_length_c 5.989
_cell_angle_alpha 111.84
_cell_angle_beta 111.84
_cell_angle_gamma 43.34
loop_
_symmetry_equiv_pos_as_xyz
'x,y,z'
loop_
_atom_site_label
_atom_site_type_symbol
_atom_site_fract_x
_atom_site_fract_y
_atom_site_fract_z
Nb1 Nb 0.000 0.000 0.000
Nb2 Nb 0.674 0.674 0.421
Si1 Si 0.444 0.444 0.636
Si2 Si 0.714 0.714 0.002
Ni1 Ni 0.225 0.225 0.769
Ni2 Ni 0.353 0.353 0.232
```